[1]
The following is a DFT calculation (PBE-GGA) of a geometry-optimized Cs3PW structure.

Results
* E above lowest polymorph: 0.000 eV/atom
* raw total energy: -14.45 eV/cell
* density of states at the Fermi level: 3.05 states/eV per cell
* formation energy: 624 kJ/mol of formula units

a b c (Å): 6.839 6.839 6.839
angles (deg): 90.00 90.00 90.00
Fractional coordinates of all 5 atoms:
Cs 0.000 0.000 0.500
Cs 0.000 0.500 0.000
Cs 0.500 0.000 0.000
P 0.000 0.000 0.000
W 0.500 0.500 0.500



[2]
The following is a DFT calculation (PBE-GGA) of a geometry-optimized Mo2Pd3Pt4 structure.

Results
* raw total energy: -63.56 eV/cell
* density of states at the Fermi level: 5.16 states/eV per cell
* formation energy: -208 kJ/mol of formula units

a b c (Å): 4.838 4.838 8.369
angles (deg): 106.67 106.67 47.96
Fractional coordinates of all 9 atoms:
Mo 0.170 0.170 0.228
Mo 0.830 0.830 0.772
Pd 0.171 0.171 0.558
Pd 0.500 0.500 0.000
Pd 0.829 0.829 0.442
Pt 0.167 0.167 0.892
Pt 0.499 0.499 0.674
Pt 0.501 0.501 0.326
Pt 0.833 0.833 0.108



[3]
The following is a DFT calculation (PBE-GGA) of a geometry-optimized Pr8Y2Sc structure.

Results
* E above lowest polymorph: 0.136 eV/atom
* raw total energy: -55.70 eV/cell
* density of states at the Fermi level: 17.87 states/eV per cell
* formation energy: 173 kJ/mol of formula units

a b c (Å): 9.089 9.089 6.709
angles (deg): 100.73 100.73 44.59
Fractional coordinates of all 11 atoms:
Pr 0.098 0.098 0.920
Pr 0.163 0.676 0.613
Pr 0.252 0.252 0.659
Pr 0.324 0.837 0.387
Pr 0.676 0.163 0.613
Pr 0.748 0.748 0.341
Pr 0.837 0.324 0.387
Pr 0.902 0.902 0.080
Y 0.316 0.316 0.180
Y 0.684 0.684 0.820
Sc 0.500 0.500 0.000



[4]
The following is a DFT calculation (PBE-GGA) of a geometry-optimized SrLa4Pr7 structure.

Results
* raw total energy: -54.27 eV/cell
* density of states at the Fermi level: 18.48 states/eV per cell
* formation energy: 56 kJ/mol of formula units

a b c (Å): 6.553 7.554 9.398
angles (deg): 89.75 76.61 89.76
Fractional coordinates of all 12 atoms:
Sr 0.000 0.000 0.000
La 0.215 0.503 0.327
La 0.287 0.259 0.663
La 0.713 0.741 0.337
La 0.785 0.497 0.673
Pr 0.000 0.500 0.000
Pr 0.230 0.001 0.342
Pr 0.284 0.741 0.665
Pr 0.500 0.258 0.001
Pr 0.500 0.742 0.999
Pr 0.716 0.259 0.335
Pr 0.770 0.999 0.658



[5]
The following is a DFT calculation (PBE-GGA) of a geometry-optimized TlRe2Sb structure.

Results
* E above lowest polymorph: 0.252 eV/atom
* raw total energy: -28.85 eV/cell
* density of states at the Fermi level: 2.27 states/eV per cell

a b c (Å): 4.368 4.368 7.447
angles (deg): 96.47 96.47 42.16
Fractional coordinates of all 4 atoms:
Tl 0.000 0.000 0.000
Re 0.251 0.251 0.718
Re 0.523 0.523 0.605
Sb 0.787 0.787 0.382



[6]
The following is a DFT calculation (PBE-GGA) of a geometry-optimized PuMgPa2 structure.

Results
* raw total energy: -34.00 eV/cell
* density of states at the Fermi level: 10.07 states/eV per cell
* formation energy: 88 kJ/mol of formula units

a b c (Å): 4.636 4.636 4.459
angles (deg): 90.00 90.00 90.00
Fractional coordinates of all 4 atoms:
Pu 0.000 0.000 0.000
Mg 0.500 0.500 0.000
Pa 0.000 0.500 0.500
Pa 0.500 0.000 0.500



[7]
The following is a DFT calculation (PBE-GGA) of a geometry-optimized Rb2TmMg2Se4 structure.

Results
* raw total energy: -35.00 eV/cell
* density of states at the Fermi level: 4.52 states/eV per cell

a b c (Å): 8.266 8.266 8.284
angles (deg): 106.83 106.83 29.88
Fractional coordinates of all 9 atoms:
Rb 0.126 0.126 0.041
Rb 0.874 0.874 0.959
Tm 0.000 0.000 0.500
Mg 0.329 0.329 0.523
Mg 0.671 0.671 0.477
Se 0.199 0.199 0.670
Se 0.484 0.484 0.727
Se 0.516 0.516 0.273
Se 0.801 0.801 0.330



[8]
The following is a DFT calculation (PBE-GGA) of a geometry-optimized Ba2Tl2Ni structure.

Results
* E above lowest polymorph: 0.000 eV/atom
* raw total energy: -28.39 eV/cell
* density of states at the Fermi level: 8.09 states/eV per cell
* formation energy: 16 kJ/mol of formula units

a b c (Å): 7.629 7.629 5.605
angles (deg): 90.00 90.00 90.00
Fractional coordinates of all 10 atoms:
Ba 0.167 0.333 0.000
Ba 0.333 0.833 0.000
Ba 0.667 0.167 0.000
Ba 0.833 0.667 0.000
Tl 0.153 0.653 0.500
Tl 0.347 0.153 0.500
Tl 0.653 0.847 0.500
Tl 0.847 0.347 0.500
Ni 0.000 0.000 0.500
Ni 0.500 0.500 0.500



> Which of these has the lowest density of states at the Fermi level?

TlRe2Sb



> Which of these has the lowest raw total energy?

Mo2Pd3Pt4